PrZrAl2: relaxed, PBE.

Computed properties:
**Energy relative to the lowest polymorph listed for this composition**: 0 meV per atom
**SG**: P4/mmm (123)

a = 3.677 Å, b = 3.677 Å, c = 6.753 Å
α = 90.00°, β = 90.00°, γ = 90.00°
Sites, in units of the cell vectors:
Pr (0.500, 0.500, 0.500)
Al (0.000, 0.000, 0.797)
Al (0.000, 0.000, 0.203)
Zr (0.500, 0.500, 0.000)